Entry 1:
# PBE KSc2Si, relaxed
data_KSc2Si
_cell_length_a 6.161
_cell_length_b 6.161
_cell_length_c 3.139
_cell_angle_alpha 76.05
_cell_angle_beta 76.05
_cell_angle_gamma 114.98
_symmetry_space_group_name_H-M 'P 1'
_symmetry_Int_Tables_number 1
_symmetry_space_group_name_Hall 'P 1'
loop_
_atom_site_label
_atom_site_fract_x
_atom_site_fract_y
_atom_site_fract_z
Sc1 0.500 0.500 0.000
Sc2 0.000 0.000 0.000
K1 0.000 0.500 0.500
Si1 0.500 0.000 0.500
# Symmetry ... C2/m, No. 12
# Formation energy from raw total energies ... 43 kJ per mole of atoms



Entry 2:
# PBE K2ScSi, relaxed
data_K2ScSi
_cell_length_a 3.781
_cell_length_b 3.897
_cell_length_c 10.629
_cell_angle_alpha 79.41
_cell_angle_beta 90.00
_cell_angle_gamma 90.00
_symmetry_space_group_name_H-M 'P 1'
_symmetry_Int_Tables_number 1
_symmetry_space_group_name_Hall 'P 1'
loop_
_atom_site_label
_atom_site_fract_x
_atom_site_fract_y
_atom_site_fract_z
Sc1 0.000 0.502 0.620
K1 0.000 0.851 0.929
K2 0.500 0.153 0.315
Si1 0.500 0.994 0.636
# Symmetry ... Pm, No. 6
# Formation energy from raw total energies ... -2 kJ per mole of atoms



Entry 3:
# PBE K2ScSi, relaxed
data_K2ScSi
_cell_length_a 12.766
_cell_length_b 12.766
_cell_length_c 12.766
_cell_angle_alpha 15.30
_cell_angle_beta 15.30
_cell_angle_gamma 15.30
_symmetry_space_group_name_H-M 'P 1'
_symmetry_Int_Tables_number 1
_symmetry_space_group_name_Hall 'P 1'
loop_
_atom_site_label
_atom_site_fract_x
_atom_site_fract_y
_atom_site_fract_z
Si1 0.750 0.750 0.750
Sc1 0.250 0.250 0.250
K1 0.010 0.010 0.010
K2 0.490 0.490 0.490
# Symmetry ... R-3m, No. 166
# Formation energy from raw total energies ... 68 kJ per mole of atoms



Entry 4:
# PBE KSc2Si, relaxed
data_KSc2Si
_cell_length_a 5.786
_cell_length_b 5.786
_cell_length_c 5.786
_cell_angle_alpha 135.75
_cell_angle_beta 135.75
_cell_angle_gamma 64.37
_symmetry_space_group_name_H-M 'P 1'
_symmetry_Int_Tables_number 1
_symmetry_space_group_name_Hall 'P 1'
loop_
_atom_site_label
_atom_site_fract_x
_atom_site_fract_y
_atom_site_fract_z
K1 0.750 0.250 0.500
Si1 0.500 0.500 0.000
Sc1 0.000 0.000 0.000
Sc2 0.250 0.750 0.500
# Symmetry ... I-4m2, No. 119
# Formation energy from raw total energies ... 36 kJ per mole of atoms